Here is a relaxed structure of KCrSb2 from Alexandria via LeMat-Bulk. Energies are from PBE-GGA.

a b c (Å): 9.2766 9.2766 9.2766
angles (deg): 23.23 23.23 23.23
Element x y z (fractional)
1 K 0.0000 0.0000 0.0000
2 Cr 0.5000 0.5000 0.5000
3 Sb 0.2289 0.2289 0.2289
4 Sb 0.7711 0.7711 0.7711

Values from the calculation:
The value obtained for the magnetic moment is 2.3 μB per cell. The total energy comes out at -4.736 eV/atom. Its uncorrected formation energy is 2.0 kJ/mol of formula units.

---

Here is a relaxed structure of Ca2H5Au2 from Alexandria via LeMat-Bulk. Energies are from PBE-GGA.

a b c (Å): 6.4446 6.4446 4.9955
angles (deg): 96.67 96.67 34.20
Element x y z (fractional)
1 Ca 0.1438 0.1438 0.2306
2 Ca 0.8562 0.8562 0.7694
3 H 0.3110 0.3110 0.0226
4 H 0.3133 0.3133 0.5288
5 H 0.5000 0.5000 0.0000
6 H 0.6867 0.6867 0.4712
7 H 0.6890 0.6890 0.9774
8 Au 0.4169 0.4169 0.2914
9 Au 0.5831 0.5831 0.7086

Values from the calculation:
The value obtained for the magnetic moment is 0.0 μB per cell. The total energy comes out at -3.382 eV/atom.

---

Here is a relaxed structure of TlCrRhI2 from Alexandria via LeMat-Bulk. Energies are from PBE-GGA.

a b c (Å): 6.3007 6.3007 5.3013
angles (deg): 90.00 90.00 90.00
Element x y z (fractional)
1 Tl 0.0000 0.0000 0.0000
2 Cr 0.0000 0.0000 0.5000
3 Rh 0.5000 0.5000 0.5000
4 I 0.0000 0.5000 0.0000
5 I 0.5000 0.0000 0.0000

Values from the calculation:
The value obtained for the magnetic moment is 6.7 μB per cell. The total energy comes out at -3.176 eV/atom. Its uncorrected formation energy is 632.9 kJ/mol of formula units.

---

Here is a relaxed structure of VSi3Hg from Alexandria via LeMat-Bulk. Energies are from PBE-GGA.

a b c (Å): 4.9939 4.9939 4.9939
angles (deg): 90.00 90.00 90.00
Element x y z (fractional)
1 V 0.0000 0.0000 0.0000
2 Si 0.0000 0.5000 0.5000
3 Si 0.5000 0.0000 0.5000
4 Si 0.5000 0.5000 0.0000
5 Hg 0.5000 0.5000 0.5000

Values from the calculation:
The value obtained for the magnetic moment is 3.3 μB per cell. The total energy comes out at -3.504 eV/atom. Its uncorrected formation energy is 788.4 kJ/mol of formula units.

---

Here is a relaxed structure of TaCdTc from Alexandria via LeMat-Bulk. Energies are from PBE-GGA.

a b c (Å): 5.0322 5.0322 5.0322
angles (deg): 148.26 128.52 61.76
Element x y z (fractional)
1 Ta 0.0000 0.0000 0.0000
2 Cd 0.3296 0.3296 0.0000
3 Tc 0.6649 0.6649 0.0000

Values from the calculation:
For the energy of formation, the calculation gives 0.242 eV/atom. The value obtained for the magnetic moment is 0.0 μB per cell. The total energy comes out at -7.470 eV/atom.

---

Here is a relaxed structure of PmZnRhAu from Alexandria via LeMat-Bulk. Energies are from PBE-GGA.

a b c (Å): 4.7979 4.7979 4.7979
angles (deg): 60.00 60.00 60.00
Element x y z (fractional)
1 Pm 0.0000 0.0000 0.0000
2 Zn 0.5000 0.5000 0.5000
3 Rh 0.7500 0.7500 0.7500
4 Au 0.2500 0.2500 0.2500

Values from the calculation:
For the energy of formation, the calculation gives -0.464 eV/atom. The value obtained for the magnetic moment is 0.0 μB per cell. The total energy comes out at -4.627 eV/atom.